Entry 1:
The following is a DFT calculation (GGA-PBE) of an optimized crystal structure of CsBa2NpO5.

Calculated total energy, Ha/atom: -0.2708
Crystal system: orthorhombic
Formation energy without anion corrections, meV per atom: -2653
DOS at the Fermi energy, states/eV per cell: 8.49

a b c (Å): 4.437 6.786 12.334
angles (deg): 90.00 90.00 90.00
Space group Immm (No. 71)
Unique sites:
Cs  0.000  0.000  0.000 [2 per cell]
Ba  0.000  0.500  0.225 [4 per cell]
Np  0.000  0.000  0.500 [2 per cell]
O  0.000  0.210  0.370 [8 per cell]
O  0.000  0.500  0.000 [2 per cell]

---

Entry 2:
The following is a DFT calculation (GGA-PBE) of an optimized crystal structure of Ho4RhBr5.

Calculated total energy, Ha/atom: -0.1775
Crystal system: monoclinic
Formation energy without anion corrections, meV per atom: -1428
DOS at the Fermi energy, states/eV per cell: 5.25

a b c (Å): 18.968 3.937 8.503
angles (deg): 90.00 101.78 90.00
Space group C2/m (No. 12)
Unique sites:
Ho  0.004  0.000  0.214 [4 per cell]
Ho  0.147  0.500  0.073 [4 per cell]
Rh  0.000  0.500  0.000 [2 per cell]
Br  0.000  0.500  0.500 [2 per cell]
Br  0.169  0.000  0.329 [4 per cell]
Br  0.182  0.000  0.844 [4 per cell]

---

Entry 3:
The following is a DFT calculation (GGA-PBE) of an optimized crystal structure of NdCd3.

Calculated total energy, Ha/atom: -0.0804
Crystal system: hexagonal
DFT formation energy, eV per atom: -0.309
DOS at the Fermi energy, states/eV per cell: 5.08

a b c (Å): 6.8047 6.8047 5.0116
angles (deg): 90.00 90.00 120.00
Space group P6_3/mmc (No. 194)
Unique sites:
Nd  0.3333  0.6667  0.2500 [2 per cell]
Cd  0.1588  0.3176  0.7500 [6 per cell]

---

Entry 4:
The following is a DFT calculation (GGA-PBE) of an optimized crystal structure of AcMg3Rh.

Calculated total energy, Ha/atom: -0.1264
Crystal system: orthorhombic
Relative energy among the computed polymorphs, eV per formula unit: 0.69
DFT formation energy, eV per atom: -0.192
DOS at the Fermi energy, states/eV per cell: 5.95

a b c (Å): 4.794 4.796 11.404
angles (deg): 90.00 90.00 90.00
Space group Amm2 (No. 38)
Unique sites:
Ac  0.000  0.000  0.000 [2 per cell]
Mg  0.000  0.000  0.715 [2 per cell]
Mg  0.500  0.000  0.236 [2 per cell]
Mg  0.500  0.000  0.498 [2 per cell]
Rh  0.000  0.000  0.347 [2 per cell]

---

What is the formula in the first record?
CsBa2NpO5